The following is a PBE-GGA calculation of a relaxed Hf2MgTi2Rh5 crystal, from Alexandria via LeMat-Bulk.

Results
DFT formation energy: -547 meV/atom
D(E_F): 14.6 states/eV per cell
VASP energy: -7.952 eV per atom
crystal system: tetragonal
space group: No. 127

Cell lengths 3.611, 9.614, 9.614 Å; angles 90.00, 90.00, 90.00 degrees
Element x y z (fractional)
1 Rh 0.500 0.294 0.568
2 Hf 0.000 0.824 0.676
3 Rh 0.500 0.706 0.432
4 Rh 0.500 0.932 0.206
5 Ti 0.000 0.376 0.124
6 Rh 0.500 0.206 0.068
7 Mg 0.000 0.000 0.000
8 Hf 0.000 0.324 0.824
9 Rh 0.500 0.068 0.794
10 Hf 0.000 0.176 0.324
11 Rh 0.500 0.794 0.932
12 Rh 0.500 0.000 0.500
13 Rh 0.500 0.568 0.706
14 Ti 0.000 0.876 0.376
15 Hf 0.000 0.676 0.176
16 Ti 0.000 0.624 0.876
17 Mg 0.000 0.500 0.500
18 Rh 0.500 0.432 0.294
19 Rh 0.500 0.500 0.000
20 Ti 0.000 0.124 0.624